First-principles (GGA-PBE) data for a relaxed structure of Nd6HoMg, as listed in Alexandria via LeMat-Bulk.

Output
**Magnetization**: 0.000 Bohr magnetons per cell
**Theoretical density**: 6.53 Mg/m³
**V**: 268.1 Å³/cell
**Total DFT energy (no corrections)**: -34.039 eV for the cell shown

Cell: 6.4926 6.4931 6.5015 Å, 96.58 96.56 96.74°
With the nearest neighbours (Å) after each atom.
Sites, in units of the cell vectors:
Nd: 0.0287 0.2611 0.0550  6 Nd 3.32-3.64, 1 Mg 3.34, 1 Ho 3.53
Nd: 0.2610 0.5544 0.5295  6 Nd 3.32-3.64, 1 Mg 3.34, 1 Ho 3.53
Nd: 0.4457 0.9714 0.2390  6 Nd 3.32-3.64, 1 Mg 3.35, 1 Ho 3.53
Nd: 0.5543 0.0286 0.7610  6 Nd 3.32-3.64, 1 Mg 3.35, 1 Ho 3.53
Nd: 0.7390 0.4456 0.4705  6 Nd 3.32-3.64, 1 Mg 3.34, 1 Ho 3.53
Nd: 0.9713 0.7389 0.9450  6 Nd 3.32-3.64, 1 Mg 3.34, 1 Ho 3.53
Ho: 0.0000 0.0000 0.5000  12 Nd 3.53-3.78
Mg: 0.5000 0.5000 0.0000  6 Nd 3.34-3.35